(1)
4
Lattice="2.1420 1.2367 7.4231 -2.1420 1.2367 7.4231 0.0000 -2.4734 7.4231" Properties=species:S:1:pos:R:3 comment="PBE Sm2SiTe, optimized geometry" e_form_raw_mev_per_atom=-1048 de_polymorph_mev_per_atom=64.6 dft_energy_ev_per_atom=-5.549 spacegroup=R3m pbc="T T T"
Sm 0.0000 0.0000 0.0000
Sm 0.0000 0.0000 4.2122
Si 0.0000 0.0000 13.2637
Te 0.0000 0.0000 9.5059


(2)
6
Lattice="5.2196 -2.0904 0.0000 5.2196 2.0904 0.0000 -1.8244 0.0000 5.4262" Properties=species:S:1:pos:R:3 comment="PBE CaCu2, optimized geometry" delta_e_f_mev_per_atom=-107 dft_energy_ev_per_atom=-3.504 spacegroup=C2/m pbc="T T T"
Ca 0.5642 0.0000 1.6691
Ca 8.0506 0.0000 3.7571
Cu 0.6908 0.0000 4.7775
Cu 3.6129 0.0000 1.6510
Cu 5.0019 0.0000 3.7752
Cu 7.9240 0.0000 0.6487


(3)
11
Lattice="7.1987 -4.2687 0.0000 7.1987 4.2687 0.0000 -4.4755 0.0000 7.3020" Properties=species:S:1:pos:R:3 comment="PBE K2PuCu2I6, optimized geometry" e_form_raw_mev_per_atom=-809 dft_energy_ev_per_atom=-3.902 spacegroup=C2/m pbc="T T T"
K 2.5151 0.0000 1.4718
K 7.4068 0.0000 5.8302
Pu -2.2377 0.0000 3.6510
Cu 2.9432 0.0000 6.0183
Cu 6.9786 0.0000 1.2837
I 5.4858 2.1260 1.3340
I 0.8100 0.0000 4.5537
I 4.4361 2.1260 5.9680
I 5.4858 -2.1260 1.3340
I 9.1119 0.0000 2.7483
I 4.4361 -2.1260 5.9680


(4)
8
Lattice="3.0267 0.0000 0.0000 0.0000 4.3497 0.0000 -0.0192 0.0000 8.7698" Properties=species:S:1:pos:R:3 comment="PBE Ti2FeMo, optimized geometry" delta_e_f_mev_per_atom=-206 dft_energy_ev_per_atom=-8.977 spacegroup=P2_1/m pbc="T T T"
Ti -0.0011 1.0874 0.9793
Ti 3.0139 1.0874 5.6032
Ti -0.0064 3.2623 3.1666
Ti 3.0086 3.2623 7.7905
Fe 1.4955 1.0874 7.7363
Fe 1.5121 3.2623 1.0334
Mo 1.5071 1.0874 3.2560
Mo 1.5005 3.2623 5.5138